1.
# HfFeBOs2

A relaxed structure of HfFeBOs2 (PBE, Alexandria).

Cell lengths 4.1385, 4.1385, 3.9211 Å; angles 90.00, 90.00, 90.00 degrees
With the nearest neighbours (Å) after each atom.
Positions (direct):
Hf  0.0000  0.0000  0.0000  8 Os 2.85, 4 Fe 2.93
Fe  0.5000  0.5000  0.0000  2 B 1.96
B  0.5000  0.5000  0.5000  2 Fe 1.96, 4 Os 2.07
Os  0.0000  0.5000  0.5000  2 B 2.07
Os  0.5000  0.0000  0.5000  2 B 2.07

Density   15.5 g/cm3
DFT total energy   -49.168 eV/cell
Space group   P4/mmm (123)
E_form   -0.32 eV/atom

2.
# HfFe2BRh

A relaxed structure of HfFe2BRh (PBE, Alexandria).

Cell lengths 3.9224, 3.9224, 4.0957 Å; angles 90.00, 90.00, 90.00 degrees
With the nearest neighbours (Å) after each atom.
Positions (direct):
Hf  0.0000  0.0000  0.0000  4 Rh 2.77, 8 Fe 2.84
Fe  0.0000  0.5000  0.5000  2 B 1.96
Fe  0.5000  0.0000  0.5000  2 B 1.96
B  0.5000  0.5000  0.5000  4 Fe 1.96, 2 Rh 2.05
Rh  0.5000  0.5000  0.0000  2 B 2.05

Density   10.6 g/cm3
ΔE to the lowest computed polymorph   0.0 kJ/mol of atoms
DFT total energy   -43.022 eV/cell
Space group   P4/mmm (123)
E_form   -0.42 eV/atom

3.
# HfFe2BRh

A relaxed structure of HfFe2BRh (PBE, Alexandria).

Cell lengths 4.6176, 4.6176, 3.8585 Å; angles 90.00, 90.00, 90.00 degrees
With the nearest neighbours (Å) after each atom.
Positions (direct):
Hf  0.0000  0.0000  0.0000  8 Fe 3.01, 4 B 3.27
Fe  0.0000  0.5000  0.5000  2 Rh 2.31
Fe  0.5000  0.0000  0.5000  2 Rh 2.31
B  0.5000  0.5000  0.0000  2 Rh 1.93
Rh  0.5000  0.5000  0.5000  2 B 1.93

Density   8.2 g/cm3
ΔE to the lowest computed polymorph   115.3 kJ/mol of atoms
DFT total energy   -37.046 eV/cell
Space group   P4/mmm (123)
E_form   0.77 eV/atom

4.
# HfFe2BRu

A relaxed structure of HfFe2BRu (PBE, Alexandria).

Cell lengths 3.9012, 3.9012, 4.0912 Å; angles 90.00, 90.00, 90.00 degrees
With the nearest neighbours (Å) after each atom.
Positions (direct):
Hf  0.0000  0.0000  0.0000  4 Ru 2.76, 8 Fe 2.83
Fe  0.0000  0.5000  0.5000  2 B 1.95
Fe  0.5000  0.0000  0.5000  2 B 1.95
B  0.5000  0.5000  0.5000  4 Fe 1.95, 2 Ru 2.05
Ru  0.5000  0.5000  0.0000  2 B 2.05

Density   10.7 g/cm3
DFT total energy   -44.507 eV/cell
Space group   P4/mmm (123)
E_form   -0.33 eV/atom

5.
# Hf2FeSnB

A relaxed structure of Hf2FeSnB (PBE, Alexandria).

Cell lengths 5.2314, 5.2314, 4.5824 Å; angles 90.00, 90.00, 90.00 degrees
With the nearest neighbours (Å) after each atom.
Positions (direct):
Hf  0.0000  0.5000  0.0000  2 Sn 2.62
Hf  0.5000  0.0000  0.0000  2 Sn 2.62
Fe  0.0000  0.0000  0.5000  2 Sn 2.29
Sn  0.0000  0.0000  0.0000  2 Fe 2.29
B  0.5000  0.5000  0.5000  8 Hf 3.48, 4 Fe 3.70

Density   7.2 g/cm3
DFT total energy   -29.246 eV/cell
Space group   P4/mmm (123)
E_form   1.96 eV/atom

6.
# Hf2TaFe5B2

A relaxed structure of Hf2TaFe5B2 (PBE, Alexandria).

Cell lengths 8.9143, 8.9143, 2.9899 Å; angles 90.00, 90.00, 90.00 degrees
With the nearest neighbours (Å) after each atom.
Positions (direct):
Hf  0.1753  0.3247  0.0000  3 B 2.59-2.67, 10 Fe 2.67-2.79
Hf  0.3247  0.8247  0.0000  3 B 2.59-2.67, 10 Fe 2.67-2.79
Hf  0.6753  0.1753  0.0000  3 B 2.59-2.67, 10 Fe 2.67-2.79
Hf  0.8247  0.6753  0.0000  3 B 2.59-2.67, 10 Fe 2.67-2.79
Ta  0.0000  0.0000  0.0000  8 Fe 2.56
Ta  0.5000  0.5000  0.0000  8 Fe 2.56
Fe  0.0000  0.5000  0.5000  4 B 2.12
Fe  0.0687  0.7771  0.5000  2 B 2.10
Fe  0.2229  0.0687  0.5000  2 B 2.10
Fe  0.2771  0.5687  0.5000  2 B 2.10
Fe  0.4313  0.2771  0.5000  2 B 2.10
Fe  0.5000  0.0000  0.5000  4 B 2.12
Fe  0.5687  0.7229  0.5000  2 B 2.10
Fe  0.7229  0.4313  0.5000  2 B 2.10
Fe  0.7771  0.9313  0.5000  2 B 2.10
Fe  0.9313  0.2229  0.5000  2 B 2.10
B  0.1191  0.6191  0.0000  6 Fe 2.10-2.12
B  0.3809  0.1191  0.0000  6 Fe 2.10-2.12
B  0.6191  0.8809  0.0000  6 Fe 2.10-2.12
B  0.8809  0.3809  0.0000  6 Fe 2.10-2.12

Density   11.7 g/cm3
DFT total energy   -184.604 eV/cell
Space group   P4/mbm (127)
E_form   -0.49 eV/atom

7.
# HfFeTc2B

A relaxed structure of HfFeTc2B (PBE, Alexandria).

Cell lengths 4.2301, 4.2301, 3.8532 Å; angles 90.00, 90.00, 90.00 degrees
With the nearest neighbours (Å) after each atom.
Positions (direct):
Hf  0.0000  0.0000  0.0000  8 Tc 2.86, 4 Fe 2.99
Fe  0.5000  0.5000  0.0000  2 B 1.93
Tc  0.0000  0.5000  0.5000  2 B 2.12
Tc  0.5000  0.0000  0.5000  2 B 2.12
B  0.5000  0.5000  0.5000  2 Fe 1.93, 4 Tc 2.12

Density   10.6 g/cm3
DFT total energy   -47.057 eV/cell
Space group   P4/mmm (123)
E_form   -0.25 eV/atom

8.
# Hf2VFeB

A relaxed structure of Hf2VFeB (PBE, Alexandria).

Cell lengths 4.6343, 4.6343, 3.6773 Å; angles 90.00, 90.00, 90.00 degrees
With the nearest neighbours (Å) after each atom.
Positions (direct):
Hf  0.0000  0.5000  0.0000  2 B 2.32
Hf  0.5000  0.0000  0.0000  2 B 2.32
V  0.0000  0.0000  0.5000  8 Hf 2.96, 4 Fe 3.28
Fe  0.5000  0.5000  0.5000  2 B 1.84
B  0.5000  0.5000  0.0000  2 Fe 1.84

Density   10.0 g/cm3
DFT total energy   -44.304 eV/cell
Space group   P4/mmm (123)
E_form   -0.03 eV/atom